1.
Density functional theory data (PBE-GGA) for HgHPd3 after structural relaxation.

Lattice parameters (Å, degrees): 11.821 9.932 4.808 90.00 90.25 90.00
Space group C2/c (No. 15)
One atom of each set of equivalent atoms:
1 Hg 0.000 0.157 0.250 [4 per cell]
2 Hg 0.000 0.343 0.750 [4 per cell]
3 H 0.250 0.161 0.625 [8 per cell]
4 Pd 0.123 0.085 0.756 [8 per cell]
5 Pd 0.123 0.415 0.245 [8 per cell]
6 Pd 0.250 0.162 0.241 [8 per cell]

Summary:
Energy ... -3.968 eV per atom
Size of the total moment ... 0.000 μB per atom
DOS at the Fermi energy ... 0.35 states/eV per atom



2.
Density functional theory data (PBE-GGA) for HgHPd3 after structural relaxation.

Lattice parameters (Å, degrees): 4.773 4.773 19.712 90.00 90.00 90.00
Space group I-4m2 (No. 119)
One atom of each set of equivalent atoms:
1 Hg 0.000 0.000 0.000 [2 per cell]
2 Hg 0.000 0.500 0.250 [2 per cell]
3 H 0.000 0.500 0.632 [4 per cell]
4 Pd 0.000 0.000 0.364 [4 per cell]
5 Pd 0.000 0.246 0.126 [8 per cell]

Summary:
Energy ... -3.191 eV per atom
Size of the total moment ... 0.000 μB per atom
DOS at the Fermi energy ... 0.82 states/eV per atom



3.
Density functional theory data (PBE-GGA) for HgH2Pd after structural relaxation.

Lattice parameters (Å, degrees): 2.9525 2.9525 20.1374 90.00 90.00 120.00
Space group R-3m (No. 166, hexagonal axes)
One atom of each set of equivalent atoms:
1 Hg 0.0000 0.0000 0.0000 [3 per cell]
2 H 0.0000 0.0000 0.1302 [6 per cell]
3 Pd 0.0000 0.0000 0.5000 [3 per cell]

Summary:
Energy ... -3.004 eV per atom
Size of the total moment ... 0.000 μB per atom
DOS at the Fermi energy ... 0.24 states/eV per atom



4.
Density functional theory data (PBE-GGA) for HgHPd3 after structural relaxation.

Lattice parameters (Å, degrees): 5.518 13.662 5.112 90.00 90.00 90.00
Space group Cmcm (No. 63)
One atom of each set of equivalent atoms:
1 Hg 0.000 0.180 0.250 [4 per cell]
2 H 0.000 0.423 0.250 [4 per cell]
3 Pd 0.000 0.000 0.000 [4 per cell]
4 Pd 0.246 0.147 0.750 [8 per cell]

Summary:
Energy ... -3.607 eV per atom
Size of the total moment ... 0.000 μB per atom
DOS at the Fermi energy ... 0.68 states/eV per atom